(1)
# Er3PuRh4 | Alexandria via LeMat-Bulk | PBE-GGA | optimized geometry
data_Er3PuRh4
_chemical_formula_sum 'Er3 Pu1 Rh4'
_space_group_name_H-M_alt 'P 1'
_space_group_IT_number 1
_space_group_name_Hall 'P 1'
_cell_length_a 4.811
_cell_length_b 4.811
_cell_length_c 7.632
_cell_angle_alpha 108.40
_cell_angle_beta 108.37
_cell_angle_gamma 90.00
loop_
_atom_site_label
_atom_site_fract_x
_atom_site_fract_y
_atom_site_fract_z
_atom_site_occupancy
Rh1 0.374 0.374 0.748 1
Rh2 0.874 0.874 0.748 1
Rh3 0.626 0.626 0.252 1
Rh4 0.126 0.126 0.252 1
Er1 0.750 0.250 0.500 1
Er2 0.000 0.500 0.000 1
Er3 0.250 0.750 0.500 1
Pu1 0.500 0.000 0.000 1
# Crystal system: tetragonal
# Energy of formation, meV per atom: -783.2
# SG: No. 139
# Volume, Å³/cell: 158.07
# Calculated density, g/cm3: 12.16
# Raw total energy, eV/atom: -7.962

***

(2)
# ErPu5Rh6 | Alexandria via LeMat-Bulk | PBE-GGA | optimized geometry
data_ErPu5Rh6
_chemical_formula_sum 'Er1 Pu5 Rh6'
_space_group_name_H-M_alt 'P 1'
_space_group_IT_number 1
_space_group_name_Hall 'P 1'
_cell_length_a 4.833
_cell_length_b 6.908
_cell_length_c 7.474
_cell_angle_alpha 90.00
_cell_angle_beta 73.87
_cell_angle_gamma 90.00
loop_
_atom_site_label
_atom_site_fract_x
_atom_site_fract_y
_atom_site_fract_z
_atom_site_occupancy
Rh1 0.869 0.753 0.326 1
Rh2 0.500 0.247 0.000 1
Rh3 0.131 0.248 0.674 1
Rh4 0.131 0.752 0.674 1
Rh5 0.869 0.247 0.326 1
Rh6 0.500 0.753 0.000 1
Pu1 0.354 0.000 0.336 1
Pu2 0.000 0.500 0.000 1
Pu3 0.646 0.000 0.664 1
Pu4 0.644 0.500 0.662 1
Pu5 0.356 0.500 0.338 1
Er1 0.000 0.000 0.000 1
# Crystal system: monoclinic
# Energy of formation, meV per atom: -458.4
# SG: No. 10
# Volume, Å³/cell: 239.71
# Calculated density, g/cm3: 13.89
# Raw total energy, eV/atom: -10.486

***

(3)
# Er2Pu2Rh15 | Alexandria via LeMat-Bulk | PBE-GGA | optimized geometry
data_Er2Pu2Rh15
_chemical_formula_sum 'Er2 Pu2 Rh15'
_space_group_name_H-M_alt 'P 1'
_space_group_IT_number 1
_space_group_name_Hall 'P 1'
_cell_length_a 6.910
_cell_length_b 6.910
_cell_length_c 6.910
_cell_angle_alpha 82.43
_cell_angle_beta 82.43
_cell_angle_gamma 82.43
loop_
_atom_site_label
_atom_site_fract_x
_atom_site_fract_y
_atom_site_fract_z
_atom_site_occupancy
Rh1 0.000 0.690 0.310 1
Rh2 0.690 0.000 0.310 1
Rh3 0.650 0.164 0.650 1
Rh4 0.000 0.500 0.000 1
Rh5 0.500 0.000 0.000 1
Rh6 0.310 0.690 0.000 1
Rh7 0.164 0.650 0.650 1
Rh8 0.350 0.350 0.836 1
Rh9 0.310 0.000 0.690 1
Rh10 0.000 0.310 0.690 1
Rh11 0.650 0.650 0.164 1
Rh12 0.000 0.000 0.500 1
Rh13 0.836 0.350 0.350 1
Rh14 0.690 0.310 0.000 1
Rh15 0.350 0.836 0.350 1
Er1 0.890 0.890 0.890 1
Er2 0.110 0.110 0.110 1
Pu1 0.640 0.640 0.640 1
Pu2 0.360 0.360 0.360 1
# Crystal system: trigonal
# Energy of formation, meV per atom: -292.8
# SG: No. 166
# Volume, Å³/cell: 321.95
# Calculated density, g/cm3: 12.20
# Raw total energy, eV/atom: -8.086

***

(4)
# ErPu2Rh3 | Alexandria via LeMat-Bulk | PBE-GGA | optimized geometry
data_ErPu2Rh3
_chemical_formula_sum 'Er1 Pu2 Rh3'
_space_group_name_H-M_alt 'P 1'
_space_group_IT_number 1
_space_group_name_Hall 'P 1'
_cell_length_a 3.269
_cell_length_b 4.888
_cell_length_c 7.878
_cell_angle_alpha 108.17
_cell_angle_beta 90.00
_cell_angle_gamma 90.00
loop_
_atom_site_label
_atom_site_fract_x
_atom_site_fract_y
_atom_site_fract_z
_atom_site_occupancy
Rh1 0.500 0.500 0.000 1
Rh2 0.500 0.836 0.673 1
Rh3 0.500 0.164 0.327 1
Pu1 0.000 0.333 0.667 1
Pu2 0.000 0.667 0.333 1
Er1 0.000 0.000 0.000 1
# Crystal system: monoclinic
# Energy of formation, meV per atom: -570.4
# SG: No. 10
# Volume, Å³/cell: 119.60
# Calculated density, g/cm3: 13.38
# Raw total energy, eV/atom: -9.784

***

(5)
# ErPu2Rh3 | Alexandria via LeMat-Bulk | PBE-GGA | optimized geometry
data_ErPu2Rh3
_chemical_formula_sum 'Er1 Pu2 Rh3'
_space_group_name_H-M_alt 'P 1'
_space_group_IT_number 1
_space_group_name_Hall 'P 1'
_cell_length_a 3.394
_cell_length_b 3.394
_cell_length_c 10.384
_cell_angle_alpha 90.00
_cell_angle_beta 90.00
_cell_angle_gamma 90.00
loop_
_atom_site_label
_atom_site_fract_x
_atom_site_fract_y
_atom_site_fract_z
_atom_site_occupancy
Rh1 0.000 0.000 0.000 1
Rh2 0.000 0.000 0.662 1
Rh3 0.000 0.000 0.338 1
Pu1 0.500 0.500 0.166 1
Pu2 0.500 0.500 0.834 1
Er1 0.500 0.500 0.500 1
# Crystal system: tetragonal
# Energy of formation, meV per atom: -572.1
# SG: No. 123
# Volume, Å³/cell: 119.64
# Calculated density, g/cm3: 13.38
# Raw total energy, eV/atom: -9.786

***

(6)
# Er2PuRh | Alexandria via LeMat-Bulk | PBE-GGA | optimized geometry
data_Er2PuRh
_chemical_formula_sum 'Er2 Pu1 Rh1'
_space_group_name_H-M_alt 'P 1'
_space_group_IT_number 1
_space_group_name_Hall 'P 1'
_cell_length_a 3.569
_cell_length_b 3.569
_cell_length_c 10.501
_cell_angle_alpha 80.22
_cell_angle_beta 80.22
_cell_angle_gamma 60.00
loop_
_atom_site_label
_atom_site_fract_x
_atom_site_fract_y
_atom_site_fract_z
_atom_site_occupancy
Er1 0.891 0.891 0.328 1
Er2 0.109 0.109 0.672 1
Pu1 0.000 0.000 0.000 1
Rh1 0.500 0.500 0.500 1
# Crystal system: trigonal
# Energy of formation, meV per atom: -70.1
# SG: No. 166
# Energy above the lowest structure with this stoichiometry, eV/atom: 0.3089
# Volume, Å³/cell: 113.56
# Calculated density, g/cm3: 9.96
# Raw total energy, eV/atom: -7.772

***

(7)
# ErPuRh | Alexandria via LeMat-Bulk | PBE-GGA | optimized geometry
data_ErPuRh
_chemical_formula_sum 'Er4 Pu4 Rh4'
_space_group_name_H-M_alt 'P 1'
_space_group_IT_number 1
_space_group_name_Hall 'P 1'
_cell_length_a 6.679
_cell_length_b 6.962
_cell_length_c 7.611
_cell_angle_alpha 90.00
_cell_angle_beta 121.05
_cell_angle_gamma 90.00
loop_
_atom_site_label
_atom_site_fract_x
_atom_site_fract_y
_atom_site_fract_z
_atom_site_occupancy
Er1 0.869 0.681 0.072 1
Er2 0.369 0.819 0.572 1
Er3 0.631 0.181 0.428 1
Er4 0.131 0.319 0.928 1
Rh1 0.350 0.549 0.280 1
Rh2 0.650 0.451 0.720 1
Rh3 0.150 0.049 0.220 1
Rh4 0.850 0.951 0.780 1
Pu1 0.335 0.830 0.025 1
Pu2 0.835 0.670 0.525 1
Pu3 0.665 0.170 0.975 1
Pu4 0.165 0.330 0.475 1
# Crystal system: monoclinic
# Energy of formation, meV per atom: -366.4
# SG: No. 14
# Energy above the lowest structure with this stoichiometry, eV/atom: 0.1077
# Volume, Å³/cell: 303.19
# Calculated density, g/cm3: 11.26
# Raw total energy, eV/atom: -9.115

***

(8)
# ErPu3Rh6 | Alexandria via LeMat-Bulk | PBE-GGA | optimized geometry
data_ErPu3Rh6
_chemical_formula_sum 'Er2 Pu6 Rh12'
_space_group_name_H-M_alt 'P 1'
_space_group_IT_number 1
_space_group_name_Hall 'P 1'
_cell_length_a 4.427
_cell_length_b 8.676
_cell_length_c 9.839
_cell_angle_alpha 100.12
_cell_angle_beta 90.00
_cell_angle_gamma 90.00
loop_
_atom_site_label
_atom_site_fract_x
_atom_site_fract_y
_atom_site_fract_z
_atom_site_occupancy
Pu1 0.250 0.335 0.812 1
Pu2 0.250 0.767 0.959 1
Pu3 0.750 0.451 0.612 1
Pu4 0.750 0.233 0.041 1
Pu5 0.250 0.549 0.388 1
Pu6 0.750 0.665 0.188 1
Rh1 0.250 0.160 0.203 1
Rh2 0.750 0.940 0.091 1
Rh3 0.750 0.143 0.709 1
Rh4 0.750 0.369 0.319 1
Rh5 0.250 0.631 0.681 1
Rh6 0.750 0.546 0.902 1
Rh7 0.250 0.060 0.909 1
Rh8 0.250 0.454 0.098 1
Rh9 0.250 0.253 0.510 1
Rh10 0.750 0.747 0.490 1
Rh11 0.250 0.857 0.291 1
Rh12 0.750 0.840 0.797 1
Er1 0.250 0.937 0.617 1
Er2 0.750 0.063 0.383 1
# Crystal system: monoclinic
# Energy of formation, meV per atom: -475.1
# SG: No. 11
# Volume, Å³/cell: 372.06
# Calculated density, g/cm3: 13.54
# Raw total energy, eV/atom: -9.642

***

(9)
# ErPuRh2 | Alexandria via LeMat-Bulk | PBE-GGA | optimized geometry
data_ErPuRh2
_chemical_formula_sum 'Er1 Pu1 Rh2'
_space_group_name_H-M_alt 'P 1'
_space_group_IT_number 1
_space_group_name_Hall 'P 1'
_cell_length_a 3.318
_cell_length_b 4.895
_cell_length_c 4.895
_cell_angle_alpha 90.00
_cell_angle_beta 90.00
_cell_angle_gamma 90.00
loop_
_atom_site_label
_atom_site_fract_x
_atom_site_fract_y
_atom_site_fract_z
_atom_site_occupancy
Rh1 0.000 0.500 0.000 1
Rh2 0.000 0.000 0.500 1
Er1 0.500 0.500 0.500 1
Pu1 0.500 0.000 0.000 1
# Crystal system: tetragonal
# Energy of formation, meV per atom: -653.8
# SG: No. 123
# Volume, Å³/cell: 79.50
# Calculated density, g/cm3: 12.89
# Raw total energy, eV/atom: -9.053

***

(10)
# ErPuRh | Alexandria via LeMat-Bulk | PBE-GGA | optimized geometry
data_ErPuRh
_chemical_formula_sum 'Er2 Pu2 Rh2'
_space_group_name_H-M_alt 'P 1'
_space_group_IT_number 1
_space_group_name_Hall 'P 1'
_cell_length_a 3.730
_cell_length_b 4.460
_cell_length_c 8.109
_cell_angle_alpha 90.00
_cell_angle_beta 90.02
_cell_angle_gamma 90.00
loop_
_atom_site_label
_atom_site_fract_x
_atom_site_fract_y
_atom_site_fract_z
_atom_site_occupancy
Rh1 0.514 0.446 0.378 1
Rh2 0.015 0.946 0.957 1
Pu1 0.014 0.446 0.642 1
Pu2 0.515 0.946 0.693 1
Er1 0.014 0.946 0.306 1
Er2 0.515 0.446 0.030 1
# Crystal system: orthorhombic
# Energy of formation, meV per atom: -474.1
# SG: No. 59
# Energy above the lowest structure with this stoichiometry, eV/atom: 0.0000
# Volume, Å³/cell: 134.92
# Calculated density, g/cm3: 12.66
# Raw total energy, eV/atom: -9.223

***

(11)
# ErPuRuRh | Alexandria via LeMat-Bulk | PBE-GGA | optimized geometry
data_ErPuRuRh
_chemical_formula_sum 'Er1 Pu1 Ru1 Rh1'
_space_group_name_H-M_alt 'P 1'
_space_group_IT_number 1
_space_group_name_Hall 'P 1'
_cell_length_a 4.795
_cell_length_b 4.795
_cell_length_c 4.795
_cell_angle_alpha 60.00
_cell_angle_beta 60.00
_cell_angle_gamma 60.00
loop_
_atom_site_label
_atom_site_fract_x
_atom_site_fract_y
_atom_site_fract_z
_atom_site_occupancy
Ru1 0.500 0.500 0.500 1
Er1 0.250 0.250 0.250 1
Rh1 0.000 0.000 0.000 1
Pu1 0.750 0.750 0.750 1
# Crystal system: cubic
# Energy of formation, meV per atom: -469.4
# SG: No. 216
# Volume, Å³/cell: 77.94
# Calculated density, g/cm3: 13.11
# Raw total energy, eV/atom: -9.350

***

(12)
# ErPuSiRh | Alexandria via LeMat-Bulk | PBE-GGA | optimized geometry
data_ErPuSiRh
_chemical_formula_sum 'Er1 Pu1 Si1 Rh1'
_space_group_name_H-M_alt 'P 1'
_space_group_IT_number 1
_space_group_name_Hall 'P 1'
_cell_length_a 4.894
_cell_length_b 4.894
_cell_length_c 4.894
_cell_angle_alpha 60.00
_cell_angle_beta 60.00
_cell_angle_gamma 60.00
loop_
_atom_site_label
_atom_site_fract_x
_atom_site_fract_y
_atom_site_fract_z
_atom_site_occupancy
Pu1 0.000 0.000 0.000 1
Rh1 0.250 0.250 0.250 1
Er1 0.500 0.500 0.500 1
Si1 0.750 0.750 0.750 1
# Crystal system: cubic
# SG: No. 216
# Volume, Å³/cell: 82.86
# Energy relative to the elements, uncorrected, eV/atom: -0.46
# Calculated density, g/cm3: 10.87
# Raw total energy, eV/atom: -8.382

***

- Number 12 is which compound?
  ErPuSiRh

***

- Which formula does entry 7 have?
  ErPuRh

***

- Which value of volume does entry 10 give?
  134.92 Å³/cell

***

- Which formula does entry 1 have?
  Er3PuRh4